Below is an optimized crystal structure of K3YTe, with properties calculated at the PBE-GGA level.

Computed properties:
* magnetic moment: 2.00 μB/cell
* E_tot: -9.33 eV/cell

a = 6.6802 Å, b = 6.6802 Å, c = 6.6802 Å
α = 90.00°, β = 90.00°, γ = 90.00°
Closest atoms and distances in Å follow each position.
Sites, in units of the cell vectors:
1 K 0.0000 0.5000 0.0000  2 Y 3.34
2 K 0.0000 0.0000 0.5000  2 Y 3.34
3 K 0.5000 0.0000 0.0000  2 Y 3.34
4 Y 0.0000 0.0000 0.0000  6 K 3.34
5 Te 0.5000 0.5000 0.5000  12 K 4.72



Below is an optimized crystal structure of OsSe, with properties calculated at the PBE-GGA level.

Computed properties:
* magnetic moment: 0.00 μB/cell
* E_tot: -28.13 eV/cell

a = 2.9553 Å, b = 2.9553 Å, c = 8.4747 Å
α = 90.00°, β = 90.00°, γ = 90.00°
Closest atoms and distances in Å follow each position.
Sites, in units of the cell vectors:
1 Se 0.7500 0.7500 0.2910  4 Os 2.55
2 Se 0.2500 0.2500 0.7090  4 Os 2.55
3 Os 0.2500 0.2500 0.1185  4 Se 2.55
4 Os 0.7500 0.7500 0.8815  4 Se 2.55



| no. | volume (A^3/atom) | E_form (uncorrected) (kcal/mol of atoms) |
| --- | --- | --- |
| 1 | 59.62 | 16.5 |
| 2 | 18.50 | 7.5 |